Compound: LiMgSc2Rh4
Source: Alexandria via LeMat-Bulk
Functional: PBE
Structure: optimized geometry

Unit cell a=7.6789 b=7.6789 c=7.6789 alpha=33.55 beta=33.55 gamma=33.55
Fractional coordinates of all 8 atoms:
Li 0.0000 0.0000 0.0000
Mg 0.5000 0.5000 0.5000
Sc 0.2522 0.2522 0.2522
Sc 0.7478 0.7478 0.7478
Rh 0.1246 0.1246 0.1246
Rh 0.3747 0.3747 0.3747
Rh 0.6253 0.6253 0.6253
Rh 0.8754 0.8754 0.8754

Properties
**E**: -6.405 eV per atom
**Formation energy from the elements**: -0.708 eV/atom
**Calculated volume**: 15.4 Å³ per atom
**ρ**: 7.2 Mg/m³
**Crystal system**: trigonal